# LaMnV3 GGA-PBE optimized geometry
# **Energy relative to the elements**: 486 meV per atom
data_LaMnV3
_chemical_formula_sum 'La1 Mn1 V3'
_cell_length_a 4.564
_cell_length_b 4.564
_cell_length_c 4.564
_cell_angle_alpha 90.00
_cell_angle_beta 90.00
_cell_angle_gamma 90.00
_symmetry_space_group_name_H-M 'P m -3 m'
_symmetry_Int_Tables_number 221
_symmetry_space_group_name_Hall '-P 4 2 3'
loop_
_atom_site_label
_atom_site_type_symbol
_atom_site_fract_x
_atom_site_fract_y
_atom_site_fract_z
_atom_site_occupancy
La1 La 0.000 0.000 0.000 1
Mn1 Mn 0.500 0.500 0.500 1
V1 V 0.000 0.500 0.500 1

=====

# As2P2N GGA-PBE optimized geometry
# **E_form (uncorrected)**: 191 kJ/mol of formula units
data_As2P2N
_chemical_formula_sum 'As4 P4 N2'
_cell_length_a 5.316
_cell_length_b 5.316
_cell_length_c 6.005
_cell_angle_alpha 90.00
_cell_angle_beta 90.00
_cell_angle_gamma 90.00
_symmetry_space_group_name_H-M 'I 4/m m m'
_symmetry_Int_Tables_number 139
_symmetry_space_group_name_Hall '-I 4 2'
loop_
_atom_site_label
_atom_site_type_symbol
_atom_site_fract_x
_atom_site_fract_y
_atom_site_fract_z
_atom_site_occupancy
As1 As 0.000 0.500 0.250 1
P1 P 0.000 0.000 0.236 1
N1 N 0.000 0.000 0.500 1

=====

# PrDyHg2 GGA-PBE optimized geometry
# **Energy relative to the elements**: -478 meV per atom
data_PrDyHg2
_chemical_formula_sum 'Pr1 Dy1 Hg2'
_cell_length_a 3.755
_cell_length_b 3.755
_cell_length_c 7.741
_cell_angle_alpha 90.00
_cell_angle_beta 90.00
_cell_angle_gamma 90.00
_symmetry_space_group_name_H-M 'P 4/m m m'
_symmetry_Int_Tables_number 123
_symmetry_space_group_name_Hall '-P 4 2'
loop_
_atom_site_label
_atom_site_type_symbol
_atom_site_fract_x
_atom_site_fract_y
_atom_site_fract_z
_atom_site_occupancy
Pr1 Pr 0.000 0.000 0.000 1
Dy1 Dy 0.000 0.000 0.500 1
Hg1 Hg 0.500 0.500 0.271 1

=====

# CsCd3As2 GGA-PBE optimized geometry
# **Energy relative to the elements**: -235 meV per atom
data_CsCd3As2
_chemical_formula_sum 'Cs4 Cd12 As8'
_cell_length_a 17.584
_cell_length_b 4.530
_cell_length_c 10.793
_cell_angle_alpha 90.00
_cell_angle_beta 120.28
_cell_angle_gamma 90.00
_symmetry_space_group_name_H-M 'C 1 2/m 1'
_symmetry_Int_Tables_number 12
loop_
_symmetry_equiv_pos_as_xyz
'x,y,z'
'-x,-y,-z'
'-x,y,-z'
'x,-y,z'
'x+1/2,y+1/2,z'
'-x+1/2,-y+1/2,-z'
'-x+1/2,y+1/2,-z'
'x+1/2,-y+1/2,z'
loop_
_atom_site_label
_atom_site_type_symbol
_atom_site_fract_x
_atom_site_fract_y
_atom_site_fract_z
_atom_site_occupancy
Cs1 Cs 0.136 0.000 0.049 1
Cd1 Cd 0.079 0.000 0.401 1
Cd2 Cd 0.085 0.500 0.687 1
Cd3 Cd 0.215 0.500 0.399 1
As1 As 0.037 0.500 0.230 1
As2 As 0.166 0.000 0.699 1

=====

> What is the formula in the third record?

PrDyHg2

=====

Please write out number 3 again, unchanged.
# PrDyHg2 GGA-PBE optimized geometry
# **Energy relative to the elements**: -478 meV per atom
data_PrDyHg2
_chemical_formula_sum 'Pr1 Dy1 Hg2'
_cell_length_a 3.755
_cell_length_b 3.755
_cell_length_c 7.741
_cell_angle_alpha 90.00
_cell_angle_beta 90.00
_cell_angle_gamma 90.00
_symmetry_space_group_name_H-M 'P 4/m m m'
_symmetry_Int_Tables_number 123
_symmetry_space_group_name_Hall '-P 4 2'
loop_
_atom_site_label
_atom_site_type_symbol
_atom_site_fract_x
_atom_site_fract_y
_atom_site_fract_z
_atom_site_occupancy
Pr1 Pr 0.000 0.000 0.000 1
Dy1 Dy 0.000 0.000 0.500 1
Hg1 Hg 0.500 0.500 0.271 1